Material: YAlZnAg3
Method: DFT, PBE
State: optimized geometry

volume	20.66	A^3/atom
total DFT energy (no corrections)	-3.3901	eV/atom
ΔH_f (0 K)	-0.3	eV per formula unit

a = 7.1714 Å, b = 7.1714 Å, c = 5.8405 Å
α = 90.00°, β = 90.00°, γ = 124.37°
Sites, in units of the cell vectors:
Y 0.2014 0.7986 0.7500
Y 0.7986 0.2014 0.2500
Al 0.4344 0.5656 0.7500
Al 0.5656 0.4344 0.2500
Zn 0.1465 0.8535 0.2500
Zn 0.8535 0.1465 0.7500
Ag 0.2060 0.2060 0.0000
Ag 0.2060 0.2060 0.5000
Ag 0.3508 0.6492 0.2500
Ag 0.6492 0.3508 0.7500
Ag 0.7940 0.7940 0.0000
Ag 0.7940 0.7940 0.5000